# 1
A crystal of Li2MnCuTe relaxed with PBEsol, computed with meta-GGA SCAN.

The value obtained for the total magnetization is 4.4 μB per cell. The total energy comes out at -14.85 eV/atom. The raw formation energy comes out at 5.7 kcal/mol of atoms.

POSCAR file:
```
Li2MnCuTe
1.0
4.938 0.000 0.000
0.000 4.938 0.000
0.000 0.000 5.055
Li Mn Cu Te
2 1 1 1
direct
0.000 0.500 0.000
0.500 0.000 0.000
0.000 0.000 0.500
0.500 0.500 0.500
0.000 0.000 0.000
```

# 2
A crystal of LiCu2Mo relaxed with PBEsol, computed with meta-GGA SCAN.

The value obtained for the total magnetization is 0.0 μB per cell. The total energy comes out at -16.61 eV/atom. Its formation energy is 0.311 eV/atom.

POSCAR file:
```
LiCu2Mo
1.0
2.475 0.000 0.000
0.000 3.851 0.000
0.000 0.000 5.365
Li Cu Mo
1 2 1
direct
0.000 0.000 0.000
0.000 0.000 0.537
0.500 0.500 0.797
0.500 0.500 0.307
```

# 3
A crystal of LiCuTeMo2 relaxed with PBEsol, computed with meta-GGA SCAN.

The value obtained for the total magnetization is 0.0 μB per cell. The total energy comes out at -23.32 eV/atom. The raw formation energy comes out at 37.0 kcal/mol of atoms.

POSCAR file:
```
LiCuTeMo2
1.0
4.917 0.000 0.000
0.000 4.917 0.000
0.000 0.000 4.698
Li Cu Te Mo
1 1 1 2
direct
0.000 0.000 0.000
0.500 0.500 0.000
0.500 0.500 0.500
0.000 0.500 0.500
0.500 0.000 0.500
```

# 4
A crystal of LiCuN2 relaxed with PBEsol, computed with meta-GGA SCAN.

The value obtained for the total magnetization is 0.0 μB per cell. The total energy comes out at -7.93 eV/atom. The raw formation energy comes out at 25.8 kcal/mol of atoms.

POSCAR file:
```
LiCuN2
1.0
2.484 0.000 0.000
-1.242 2.151 0.000
0.000 0.000 19.766
Li Cu N
3 3 6
direct
0.000 0.000 0.000
0.333 0.667 0.667
0.667 0.333 0.333
0.000 0.000 0.500
0.333 0.667 0.167
0.667 0.333 0.833
0.000 0.000 0.409
0.000 0.000 0.591
0.333 0.667 0.075
0.333 0.667 0.258
0.667 0.333 0.742
0.667 0.333 0.925
```

# 5
A crystal of LiCu2PN relaxed with PBEsol, computed with meta-GGA SCAN.

The value obtained for the total magnetization is 0.0 μB per cell. The total energy comes out at -10.19 eV/atom. The raw formation energy comes out at 7.0 kcal/mol of atoms.

POSCAR file:
```
LiCu2PN
1.0
3.713 0.000 0.000
0.000 3.713 0.000
0.000 0.000 4.533
Li Cu P N
1 2 1 1
direct
0.000 0.000 0.000
0.000 0.500 0.500
0.500 0.000 0.500
0.500 0.500 0.000
0.500 0.500 0.500
```

# 6
A crystal of LiCuPb2N relaxed with PBEsol, computed with meta-GGA SCAN.

The value obtained for the total magnetization is 0.0 μB per cell. The total energy comes out at -35.32 eV/atom. The raw formation energy comes out at 8.5 kcal/mol of atoms.

POSCAR file:
```
LiCuPb2N
1.0
5.502 0.000 0.000
0.000 5.502 0.000
0.000 0.000 3.438
Li Cu Pb N
1 1 2 1
direct
0.000 0.000 0.000
0.500 0.500 0.500
0.000 0.500 0.500
0.500 0.000 0.500
0.500 0.500 0.000
```

# 7
A crystal of LiCuSe2N relaxed with PBEsol, computed with meta-GGA SCAN.

The value obtained for the total magnetization is 2.8 μB per cell. The relative energy among the computed polymorphs comes out at 894 meV/atom. The total energy comes out at -12.10 eV/atom. The raw formation energy comes out at 30.2 kcal/mol of atoms.

POSCAR file:
```
LiCuSe2N
1.0
4.475 0.000 0.000
0.000 4.475 0.000
0.000 0.000 4.330
Li Cu Se N
1 1 2 1
direct
0.000 0.000 0.000
0.000 0.000 0.500
0.000 0.500 0.000
0.500 0.000 0.000
0.500 0.500 0.500
```

# 8
A crystal of LiCuSe2N relaxed with PBEsol, computed with meta-GGA SCAN.

The value obtained for the total magnetization is 1.5 μB per cell. The relative energy among the computed polymorphs comes out at 0 meV/atom. The total energy comes out at -12.99 eV/atom. The raw formation energy comes out at 9.6 kcal/mol of atoms.

POSCAR file:
```
LiCuSe2N
1.0
5.030 0.000 0.000
0.000 5.030 0.000
0.000 0.000 3.456
Li Cu Se N
1 1 2 1
direct
0.000 0.000 0.000
0.500 0.500 0.500
0.000 0.500 0.500
0.500 0.000 0.500
0.500 0.500 0.000
```